No. 1
The following is a PBE calculation of a geometry-optimized Ac2LaTl structure, from Alexandria via LeMat-Bulk.

a b c (Å): 7.231 5.687 7.630
angles (deg): 90.00 103.95 90.00
Positions (direct):
Ac1 0.119 0.250 0.402
Ac2 0.167 0.250 0.919
Ac3 0.833 0.750 0.081
Ac4 0.881 0.750 0.598
La1 0.389 0.750 0.245
La2 0.611 0.250 0.755
Tl1 0.377 0.750 0.724
Tl2 0.623 0.250 0.276

Magnetization ... 0.00 μB per formula unit
Crystal system ... monoclinic
Volume ... 38.06 A^3/atom
DFT formation energy ... -0.16 eV/atom
SG ... P2_1/m



No. 2
The following is a PBE calculation of a geometry-optimized AcLa6Tl structure, from Alexandria via LeMat-Bulk.

a b c (Å): 6.005 6.005 7.866
angles (deg): 90.00 90.00 90.00
Positions (direct):
Ac1 0.000 0.000 0.000
La1 0.000 0.500 0.282
La2 0.000 0.500 0.718
La3 0.500 0.000 0.282
La4 0.500 0.000 0.718
La5 0.500 0.500 0.000
La6 0.500 0.500 0.500
Tl1 0.000 0.000 0.500

Magnetization ... 0.00 μB per formula unit
Crystal system ... tetragonal
Volume ... 35.46 A^3/atom
DFT formation energy ... -0.05 eV/atom
SG ... P4/mmm



No. 3
The following is a PBE calculation of a geometry-optimized Ac4La9Tl11 structure, from Alexandria via LeMat-Bulk.

a b c (Å): 14.884 14.884 3.781
angles (deg): 90.00 90.00 110.49
Positions (direct):
Ac1 0.089 0.257 0.000
Ac2 0.257 0.089 0.000
Ac3 0.743 0.911 0.000
Ac4 0.911 0.743 0.000
La1 0.000 0.000 0.000
La2 0.110 0.663 0.000
La3 0.299 0.491 0.000
La4 0.337 0.890 0.000
La5 0.491 0.299 0.000
La6 0.509 0.701 0.000
La7 0.663 0.110 0.000
La8 0.701 0.509 0.000
La9 0.890 0.337 0.000
Tl1 0.092 0.462 0.500
Tl2 0.122 0.878 0.500
Tl3 0.299 0.299 0.500
Tl4 0.311 0.689 0.500
Tl5 0.462 0.092 0.500
Tl6 0.500 0.500 0.500
Tl7 0.538 0.908 0.500
Tl8 0.689 0.311 0.500
Tl9 0.701 0.701 0.500
Tl10 0.878 0.122 0.500
Tl11 0.908 0.538 0.500

Magnetization ... 0.00 μB per formula unit
Crystal system ... orthorhombic
Volume ... 32.69 A^3/atom
DFT formation energy ... -0.33 eV/atom
SG ... Cmmm